(1)
Tb4Pm2NdSm2 (PBE, optimized geometry); E_form = 0.001 eV/atom; symmetry = C2/m (12)
1.0
-1.7129 -1.9606 2.5459
9.1268 -2.6626 1.4860
-2.6978 8.1513 4.4621
Tb Sm Nd Pm
4 2 1 2
Direct
0.4808 0.9616 0.6656 Tb
0.8147 0.6294 0.6646 Tb
0.5192 0.0384 0.3344 Tb
0.1853 0.3706 0.3354 Tb
0.1477 0.2953 0.6645 Sm
0.8523 0.7047 0.3355 Sm
0.0000 0.0000 0.0000 Nd
0.3333 0.6666 0.9988 Pm
0.6667 0.3334 0.0012 Pm

---

(2)
ThURe4 (PBE, optimized geometry); E_form = 0.025 eV/atom; symmetry = F-43m (216)
1.0
5.4483 0.0000 0.0000
2.7241 4.7183 0.0000
2.7241 1.5728 4.4485
Re U Th
4 1 1
Direct
0.6250 0.6250 0.1250 Re
0.6250 0.6250 0.6250 Re
0.1250 0.6250 0.6250 Re
0.6250 0.1250 0.6250 Re
0.0000 0.0000 0.0000 U
0.2500 0.2500 0.2500 Th

---

(3)
KBa2AgH (PBE, optimized geometry); symmetry = P4/mmm (123)
1.0
-1.1233 5.1552 2.2000
0.5377 -2.1343 5.2758
5.1864 1.1561 -0.0609
K Ag H Ba
1 1 1 2
Direct
0.0000 0.0000 0.5000 K
0.5000 0.5000 0.5000 Ag
0.0000 0.0000 0.0000 H
0.5000 0.0000 0.0000 Ba
0.0000 0.5000 0.0000 Ba

---

(4)
MnGa2W (PBE, optimized geometry); E_form = 0.112 eV/atom; energy relative to the lowest polymorph listed for this composition = 0.0359 eV/atom; symmetry = P4/mmm (123)
1.0
3.8626 0.0000 0.0000
0.0000 3.8972 0.0000
0.0000 0.0000 3.8972
Ga W Mn
2 1 1
Direct
0.0000 0.5000 0.0000 Ga
0.0000 0.0000 0.5000 Ga
0.5000 0.0000 0.0000 W
0.5000 0.5000 0.5000 Mn

---

(5)
LaEuMgAl (PBE, optimized geometry); E_form = -0.203 eV/atom; symmetry = F-43m (216)
1.0
5.4768 0.0000 0.0000
2.7384 4.7431 0.0000
2.7384 1.5810 4.4718
Eu Al Mg La
1 1 1 1
Direct
0.2500 0.2500 0.2500 Eu
0.0000 0.0000 0.0000 Al
0.5000 0.5000 0.5000 Mg
0.7500 0.7500 0.7500 La

---

(6)
Ca3Tl2Cd7 (PBE, optimized geometry); E_form = -0.216 eV/atom; symmetry = R-3m (166)
1.0
6.1054 0.0000 0.0000
3.0527 5.2875 0.0000
3.0527 1.7625 9.8986
Tl Cd Ca
2 7 3
Direct
0.6648 0.6648 0.0055 Tl
0.3352 0.3352 0.9945 Tl
0.4077 0.9205 0.2640 Cd
0.0795 0.5923 0.7360 Cd
0.5000 0.5000 0.5000 Cd
0.5923 0.0795 0.7360 Cd
0.9205 0.4077 0.2640 Cd
0.5923 0.5923 0.7360 Cd
0.4077 0.4077 0.2640 Cd
0.1427 0.1427 0.5719 Ca
0.0000 0.0000 0.0000 Ca
0.8573 0.8573 0.4281 Ca

---

(7)
CsLaAl2 (PBE, optimized geometry); E_form = 0.617 eV/atom; energy relative to the lowest polymorph listed for this composition = 0.2173 eV/atom; symmetry = I-42d (122)
1.0
-3.0209 -4.6129 7.3704
8.4401 0.3193 3.6592
1.9368 0.7969 7.0404
La Al Cs
2 4 2
Direct
0.7500 0.2500 0.5000 La
0.0000 0.0000 0.0000 La
0.3750 0.3327 0.7500 Al
0.6673 0.1250 0.2500 Al
0.8750 0.9173 0.7500 Al
0.0827 0.6250 0.2500 Al
0.2500 0.7500 0.5000 Cs
0.5000 0.5000 0.0000 Cs

---

(8)
Tb2Pm3Tm6 (PBE, optimized geometry); E_form = 0.202 eV/atom; energy relative to the lowest polymorph listed for this composition = 0.0000 eV/atom; symmetry = C2/m (12)
1.0
-3.8715 1.1560 -4.5862
-6.0394 -0.2390 0.9651
-1.2985 11.3763 1.2174
Tb Tm Pm
2 6 3
Direct
0.1664 0.6673 0.5000 Tb
0.8336 0.3327 0.5000 Tb
0.7507 0.0000 0.7473 Tm
0.2493 0.0000 0.2527 Tm
0.9152 0.6670 0.2529 Tm
0.0848 0.3330 0.7471 Tm
0.5822 0.3330 0.2529 Tm
0.4178 0.6670 0.7471 Tm
0.6642 0.6717 0.0000 Pm
0.3358 0.3283 0.0000 Pm
0.0000 0.0000 0.0000 Pm

---

(9)
Li3Sm2PuSe6 (PBE, optimized geometry); symmetry = C2/m (12); raw formation energy = -1.568 eV/atom
1.0
7.1947 0.0005 0.0012
-3.5952 6.2321 0.0012
-1.2003 -2.0783 6.4868
Li Se Sm Pu
3 6 2 1
Direct
0.8337 0.1663 0.5000 Li
0.1663 0.8337 0.5000 Li
0.5000 0.5000 0.5000 Li
0.7537 0.7537 0.2564 Se
0.5824 0.9141 0.7426 Se
0.0859 0.4176 0.2574 Se
0.9141 0.5824 0.7426 Se
0.2463 0.2463 0.7436 Se
0.4176 0.0859 0.2574 Se
0.3333 0.6667 0.0000 Sm
0.6667 0.3333 0.0000 Sm
0.0000 0.0000 0.0000 Pu

---

(10)
CoHg3Br (PBE, optimized geometry); energy relative to the lowest polymorph listed for this composition = 0.0000 eV/atom; symmetry = Pm-3m (221); raw formation energy = 0.239 eV/atom
1.0
5.1277 0.0000 0.0000
0.0000 5.1277 0.0000
0.0000 0.0000 5.1277
Hg Co Br
3 1 1
Direct
0.5000 0.0000 0.0000 Hg
0.0000 0.5000 0.0000 Hg
0.0000 0.0000 0.5000 Hg
0.0000 0.0000 0.0000 Co
0.5000 0.5000 0.5000 Br

---

(11)
Co4TeSe (PBE, optimized geometry); symmetry = F-43m (216); raw formation energy = 0.492 eV/atom
1.0
0.0000 3.5284 3.5284
3.5284 0.0000 3.5284
3.5284 3.5284 0.0000
Co Te Se
4 1 1
Direct
0.6249 0.6249 0.1253 Co
0.6249 0.1253 0.6249 Co
0.1253 0.6249 0.6249 Co
0.6249 0.6249 0.6249 Co
0.0000 0.0000 0.0000 Te
0.2500 0.2500 0.2500 Se

---

(12)
ScCuBr2 (PBE, optimized geometry); energy relative to the lowest polymorph listed for this composition = 0.4326 eV/atom; symmetry = P4/mmm (123); raw formation energy = -0.311 eV/atom
1.0
4.7159 0.0000 0.0000
0.0000 4.7159 0.0000
0.0000 0.0000 3.5962
Br Cu Sc
2 1 1
Direct
0.0000 0.0000 0.0000 Br
0.5000 0.5000 0.0000 Br
0.5000 0.0000 0.5000 Cu
0.0000 0.5000 0.5000 Sc

---

Magnetic moment, respectively: 0.00; 0.76; 0.00; 2.85; 7.40; 0.00; 0.00; 0.00; 5.00; 1.40; 6.84; 0.00 μB per formula unit.
Uncorrected energy, respectively: -4.691; -11.392; -2.308; -6.932; -5.338; -1.645; -2.700; -4.375; -5.770; -1.698; -5.350; -3.755 eV/atom.